## CaLaAl (PBEsol)

Data for a geometry-optimized CaLaAl structure.

Cell and atoms, written as extended XYZ:
```
6
Lattice="-0.358 4.803 2.443 -2.368 -0.776 -4.791 -5.727 -2.034 3.159" Properties=species:S:1:pos:R:3 pbc="T T T"
Ca 0.000 0.000 0.000
Al -3.129 0.576 -1.590
Al -5.323 1.418 2.401
La -2.460 2.435 0.821
La -5.993 -0.441 -0.011
Ca -2.863 -1.017 1.580
```

The symmetry is P6_3/mmc. The calculation puts the formation energy at -265 meV/atom. The value obtained for the size of the total moment is 0.0 μB per cell. As for the crystal system: hexagonal.